1.
Below is Mg3CuOs after structural relaxation, with properties calculated at the GGA-PBE level.

Output
As for the space-group type: Pm-3m, No. 221. Its total magnetic moment is 0.00 μB per formula unit. The formation energy comes out at 0.8346 eV/atom. For the total energy, the calculation gives -15.94 eV per cell.

Geometry as extended XYZ:
```
5
Lattice="4.948 0.000 0.000 0.000 4.948 0.000 0.000 0.000 4.948" Properties=species:S:1:pos:R:3 pbc="T T T"
Mg 0.000 2.474 0.000
Mg 2.474 0.000 0.000
Mg 0.000 0.000 2.474
Cu 2.474 2.474 2.474
Os 0.000 0.000 0.000
```

---

2.
Below is CaGe2Sb2 after structural relaxation, with properties calculated at the GGA-PBE level.

Output
As for the space-group type: P4/mbm, No. 127. The calculation puts the uncorrected formation energy at -0.04 eV per atom. Its total magnetic moment is 0.00 μB per formula unit. For the total energy, the calculation gives -39.38 eV per cell.

Geometry as extended XYZ:
```
10
Lattice="-6.664 4.102 -2.376 1.253 -2.430 -7.708 -2.160 -3.139 0.639" Properties=species:S:1:pos:R:3 pbc="T T T"
Sb -4.118 2.294 -2.652
Sb -1.294 -0.621 -7.433
Sb -0.523 -0.267 -3.080
Sb -4.889 1.939 -7.004
Ca 0.000 0.000 0.000
Ca -2.706 0.836 -5.042
Ge -1.282 -2.528 -5.079
Ge -6.289 1.062 -4.367
Ge -3.200 -0.519 -1.685
Ge -4.372 -0.948 -7.760
```

---

3.
Below is ZnNi6B2 after structural relaxation, with properties calculated at the GGA-PBE level.

Output
As for the space-group type: Immm, No. 71. Its total magnetic moment is 0.00 μB per formula unit. The formation energy comes out at -0.2254 eV/atom. For the total energy, the calculation gives -102.69 eV per cell.

Geometry as extended XYZ:
```
18
Lattice="-3.302 -4.288 -2.917 1.263 -1.396 5.853 -3.146 5.271 0.342" Properties=species:S:1:pos:R:3 pbc="T T T"
Ni -2.366 -3.568 -0.874
Ni -1.224 -0.478 2.883
Ni -3.290 -1.317 -1.815
Ni -2.819 3.156 4.151
Ni -3.344 -1.556 2.343
Ni -3.353 1.071 2.906
Ni -1.896 0.905 5.093
Ni -2.672 -3.824 1.580
Ni -1.841 1.143 0.934
Ni -3.961 0.065 0.395
Ni -1.833 -1.483 0.371
Ni -2.513 3.411 1.698
B -4.178 0.637 -1.668
B -2.271 0.346 -0.907
B -3.940 1.965 1.068
B -1.245 -2.378 2.209
Zn -0.941 1.938 3.097
Zn 0.000 0.000 0.000
```

---

4.
Below is Cs4Na2O after structural relaxation, with properties calculated at the GGA-PBE level.

Output
As for the space-group type: I4/mmm, No. 139. The calculation puts the uncorrected formation energy at -0.38 eV per atom. Its total magnetic moment is 0.00 μB per formula unit. For the total energy, the calculation gives -13.70 eV per cell.

Geometry as extended XYZ:
```
7
Lattice="-5.300 -2.153 2.480 0.996 -5.540 -2.681 3.231 -7.085 8.593" Properties=species:S:1:pos:R:3 pbc="T T T"
Na -0.771 -9.818 5.505
Na -0.302 -4.960 2.888
Cs -2.650 -1.076 1.240
Cs 1.850 -6.254 6.362
Cs 0.498 -2.770 -1.340
Cs -2.922 -8.524 2.030
O 0.000 0.000 0.000
```

---

5.
Below is PmY6Er3Tm2 after structural relaxation, with properties calculated at the GGA-PBE level.

Output
As for the space-group type: C2/m, No. 12. Its total magnetic moment is 0.00 μB per formula unit. The formation energy comes out at 0.0248 eV/atom. For the total energy, the calculation gives -65.87 eV per cell.

Geometry as extended XYZ:
```
12
Lattice="-5.975 0.189 -1.406 4.157 -0.981 -4.412 -0.181 -11.157 3.731" Properties=species:S:1:pos:R:3 pbc="T T T"
Y 1.190 -3.195 -1.027
Y -1.409 -3.393 -3.428
Y -2.194 -2.804 -0.023
Y -0.590 -8.556 1.341
Y 0.195 -9.145 -2.064
Y -3.188 -8.755 -1.060
Er -0.999 -5.975 -1.044
Er -4.373 -5.585 -0.042
Er 2.374 -6.364 -2.045
Tm -2.597 -0.201 -2.408
Tm 0.780 -0.591 -3.410
Pm 0.000 0.000 0.000
```

---

6.
Below is Tb2NdY2Tm2 after structural relaxation, with properties calculated at the GGA-PBE level.

Output
As for the space-group type: C2/m, No. 12. Its total magnetic moment is 1.01 μB per formula unit. The formation energy comes out at 0.1635 eV/atom. For the total energy, the calculation gives -34.76 eV per cell.

Geometry as extended XYZ:
```
7
Lattice="3.479 0.000 0.000 -1.739 10.909 -5.084 0.000 -7.123 9.418" Properties=species:S:1:pos:R:3 pbc="T T T"
Tm 0.000 2.088 3.663
Tm 1.739 1.697 0.671
Tb 1.739 4.172 -1.703
Tb 0.000 -0.387 6.037
Y 0.000 4.684 1.420
Y 1.739 -0.898 2.914
Nd 0.000 -3.562 4.709
```